The following is a DFT calculation (PBE) of a geometry-optimized Rb2Hg2O5 structure.

## Properties
- electronic total energy (eV per atom) = -3.12

Geometry as CIF:
```
data_Rb2Hg2O5
_space_group_name_H-M_alt 'P 4/m m m'
_space_group_IT_number 123
_space_group_name_Hall '-P 4 2'
_cell_length_a 4.4346
_cell_length_b 4.4346
_cell_length_c 10.0930
_cell_angle_alpha 90.00
_cell_angle_beta 90.00
_cell_angle_gamma 90.00
loop_
_atom_site_label
_atom_site_type_symbol
_atom_site_fract_x
_atom_site_fract_y
_atom_site_fract_z
Rb1 Rb 0.0000 0.0000 0.2401
Hg1 Hg 0.5000 0.5000 0.0000
Hg2 Hg 0.5000 0.5000 0.5000
O1 O 0.0000 0.0000 0.5000
O2 O 0.0000 0.5000 0.0733
```